1.
Entry from Alexandria: GeBiC2 after structural relaxation (GGA-PBE).

Values from the calculation:
offset from the most stable computed form: 1029 meV per atom
total energy: -4.488 eV per atom
formation energy from the elements: 51.858 kcal/mol of atoms

abc: 6.192 6.192 6.192
angles: 90.00 90.00 90.00
Space group Fm-3m (No. 225)
Unique sites:
Ge: 0.000 0.000 0.000 [4 per cell]
Bi: 0.000 0.000 0.500 [4 per cell]
C: 0.250 0.250 0.250 [8 per cell]

2.
Entry from Alexandria: BMoRhBr2 after structural relaxation (GGA-PBE).

Values from the calculation:
E_form (uncorrected): 1.49 eV per atom
total energy: -4.152 eV per atom

abc: 4.992 4.992 4.847
angles: 90.00 90.00 90.00
Space group P4/mmm (No. 123)
Unique sites:
B: 0.000 0.000 0.000 [1 per cell]
Mo: 0.500 0.500 0.500 [1 per cell]
Rh: 0.500 0.500 0.000 [1 per cell]
Br: 0.000 0.500 0.500 [2 per cell]

3.
Entry from Alexandria: BeHgSb2 after structural relaxation (GGA-PBE).

Values from the calculation:
offset from the most stable computed form: 281 meV per atom
E_form (uncorrected): 0.47 eV per atom
total energy: -2.601 eV per atom

abc: 6.124 7.883 4.717
angles: 90.00 120.67 90.00
Space group C2/m (No. 12)
Unique sites:
Be: 0.000 0.000 0.000 [2 per cell]
Hg: 0.000 0.500 0.000 [2 per cell]
Sb: 0.250 0.250 0.500 [4 per cell]